A plane-wave DFT calculation with PBE-GGA was carried out for a relaxed CsAg3SeS crystal.

space group = P3m1 (156)
density = 4.6 g cm⁻³
calculated total energy = -3.298 eV/atom

a = 6.049 Å, b = 6.049 Å, c = 6.532 Å
α = 90.00°, β = 90.00°, γ = 120.00°
Fractional positions:
Cs 0.000 0.000 0.000
Ag 0.502 0.004 0.496
Ag 0.502 0.498 0.496
Ag 0.996 0.498 0.496
Se 0.333 0.667 0.770
S 0.667 0.333 0.238